#A
Density functional theory data (PBE-GGA) for a relaxed NbFeRh3 crystal.

The structure in extended XYZ format:
```
5
Lattice="-2.421 -3.139 -2.500 0.415 -3.100 3.490 -3.991 1.581 1.879" Properties=species:S:1:pos:R:3 pbc="T T T"
Rh -1.996 0.791 0.940
Nb 0.000 0.000 0.000
Rh -1.210 -1.569 -1.250
Fe -2.998 -2.329 1.435
Rh 0.208 -1.550 1.745
```

Computed properties:
SG: No. 221


#B
Density functional theory data (PBE-GGA) for a relaxed NbFeRh3 crystal.

The structure in extended XYZ format:
```
5
Lattice="4.424 0.000 0.000 0.000 4.424 0.000 0.000 0.000 4.424" Properties=species:S:1:pos:R:3 pbc="T T T"
Nb 2.212 2.212 2.212
Rh 2.212 0.000 0.000
Rh 0.000 2.212 0.000
Fe 0.000 0.000 0.000
Rh 0.000 0.000 2.212
```

Computed properties:
SG: No. 221


Least stable of them? #A.


#A
Density functional theory data (PBE-GGA) for a relaxed Nb2FeRh crystal.

The structure in extended XYZ format:
```
4
Lattice="3.670 0.000 0.000 0.000 4.103 0.000 0.000 0.000 4.103" Properties=species:S:1:pos:R:3 pbc="T T T"
Fe 1.835 2.051 2.051
Rh 1.835 0.000 0.000
Nb 0.000 2.051 0.000
Nb 0.000 0.000 2.051
```

Computed properties:
SG: No. 123


#B
Density functional theory data (PBE-GGA) for a relaxed Nb2FeRh crystal.

The structure in extended XYZ format:
```
4
Lattice="2.901 0.000 0.000 0.000 2.901 0.000 0.000 0.000 7.241" Properties=species:S:1:pos:R:3 pbc="T T T"
Nb 0.000 0.000 5.572
Rh 1.451 1.451 3.621
Fe 1.451 1.451 0.000
Nb 0.000 0.000 1.669
```

Computed properties:
SG: No. 123


#C
Density functional theory data (PBE-GGA) for a relaxed Nb2FeRh crystal.

The structure in extended XYZ format:
```
8
Lattice="6.972 0.000 0.000 0.000 6.972 0.000 3.486 3.486 2.691" Properties=species:S:1:pos:R:3 pbc="T T T"
Nb 1.830 5.229 0.673
Nb 5.229 5.316 2.018
Fe 3.486 6.972 1.346
Nb 8.715 8.628 2.018
Rh 6.972 3.486 1.346
Nb 5.142 1.743 0.673
Fe 3.486 3.486 0.000
Rh 0.000 0.000 0.000
```

Computed properties:
SG: No. 122


Least stable of them? #C.


#A
Density functional theory data (PBE-GGA) for a relaxed Nb2FeRh crystal.

The structure in extended XYZ format:
```
4
Lattice="0.000 3.153 3.153 3.153 0.000 3.153 3.153 3.153 0.000" Properties=species:S:1:pos:R:3 pbc="T T T"
Fe 0.000 0.000 0.000
Rh 3.153 3.153 3.153
Nb 4.730 4.730 4.730
Nb 1.577 1.577 1.577
```

Computed properties:
SG: No. 225


#B
Density functional theory data (PBE-GGA) for a relaxed Nb2FeRh crystal.

The structure in extended XYZ format:
```
4
Lattice="-0.584 -0.240 2.750 1.839 -1.262 1.728 4.570 7.735 3.091" Properties=species:S:1:pos:R:3 pbc="T T T"
Fe 0.000 0.000 0.000
Nb 2.311 0.592 4.884
Nb 3.515 5.642 2.685
Rh 2.913 3.117 3.784
```

Computed properties:
SG: No. 166


Least stable of them? #B.


#A
Density functional theory data (PBE-GGA) for a relaxed NbFe2Rh2 crystal.

The structure in extended XYZ format:
```
10
Lattice="7.155 0.000 0.000 0.000 7.155 0.000 0.000 0.000 2.681" Properties=species:S:1:pos:R:3 pbc="T T T"
Nb 0.000 0.000 0.000
Rh 2.655 6.232 0.000
Nb 3.577 3.577 0.000
Fe 2.371 1.207 1.340
Fe 4.784 5.948 1.340
Fe 5.948 2.371 1.340
Rh 0.923 2.655 0.000
Rh 6.232 4.500 0.000
Fe 1.207 4.784 1.340
Rh 4.500 0.923 0.000
```

Computed properties:
SG: No. 127


#B
Density functional theory data (PBE-GGA) for a relaxed NbFe2Rh2 crystal.

The structure in extended XYZ format:
```
10
Lattice="7.132 0.000 0.000 0.000 7.132 0.000 0.000 0.000 2.745" Properties=species:S:1:pos:R:3 pbc="T T T"
Fe 0.850 2.716 0.000
Rh 1.255 4.821 1.373
Rh 5.877 2.311 1.373
Rh 2.311 1.255 1.373
Nb 3.566 3.566 0.000
Rh 4.821 5.877 1.373
Fe 2.716 6.282 0.000
Fe 4.416 0.850 0.000
Fe 6.282 4.416 0.000
Nb 0.000 0.000 0.000
```

Computed properties:
SG: No. 127


Least stable of them? #A.


#A
Density functional theory data (PBE-GGA) for a relaxed Nb2Fe2Rh crystal.

The structure in extended XYZ format:
```
10
Lattice="6.804 0.000 0.000 0.000 6.804 0.000 0.000 0.000 3.124" Properties=species:S:1:pos:R:3 pbc="T T T"
Nb 2.183 1.218 1.562
Fe 0.839 2.563 0.000
Nb 1.218 4.620 1.562
Fe 2.563 5.965 0.000
Fe 5.965 4.240 0.000
Nb 5.585 2.183 1.562
Nb 4.620 5.585 1.562
Rh 3.402 3.402 0.000
Fe 4.240 0.839 0.000
Rh 0.000 0.000 0.000
```

Computed properties:
SG: No. 127


#B
Density functional theory data (PBE-GGA) for a relaxed Nb2Fe2Rh crystal.

The structure in extended XYZ format:
```
10
Lattice="7.124 0.000 0.000 0.000 7.124 0.000 0.000 0.000 2.933" Properties=species:S:1:pos:R:3 pbc="T T T"
Fe 2.574 0.988 1.466
Fe 6.136 2.574 1.466
Rh 0.000 0.000 0.000
Nb 2.443 6.005 0.000
Rh 3.562 3.562 0.000
Nb 4.680 1.119 0.000
Nb 1.119 2.443 0.000
Fe 4.550 6.136 1.466
Nb 6.005 4.680 0.000
Fe 0.988 4.550 1.466
```

Computed properties:
SG: No. 127


Least stable of them? #B.


#A
Density functional theory data (PBE-GGA) for a relaxed NbFe3Rh crystal.

The structure in extended XYZ format:
```
5
Lattice="4.420 0.000 0.000 0.000 4.420 0.000 0.000 0.000 4.420" Properties=species:S:1:pos:R:3 pbc="T T T"
Fe 2.210 0.000 0.000
Fe 0.000 0.000 2.210
Rh 2.210 2.210 2.210
Nb 0.000 0.000 0.000
Fe 0.000 2.210 0.000
```

Computed properties:
SG: No. 221


#B
Density functional theory data (PBE-GGA) for a relaxed NbFe3Rh crystal.

The structure in extended XYZ format:
```
5
Lattice="-0.026 -0.665 4.476 -2.567 -3.684 -0.562 3.727 -2.542 -0.356" Properties=species:S:1:pos:R:3 pbc="T T T"
Fe -0.013 -0.332 2.238
Fe 1.863 -1.271 -0.178
Rh 0.000 0.000 0.000
Nb 0.567 -3.446 1.779
Fe -1.283 -1.842 -0.281
```

Computed properties:
SG: No. 221


Least stable of them? #A.